1.
Density functional theory data (GGA-PBE) for LiP2Ir2 after structural relaxation.

Its formation energy is -227 meV per atom.

The space group is P4/mbm (No. 127) and the conventional cell measures 7.092, 7.092 and 2.818 Å, with angles of 90.00, 90.00 and 90.00 degrees. Symmetry generates all atoms from Li at (0.000, 0.000, 0.000), P at (0.157, 0.343, 0.000) and Ir at (0.146, 0.646, 0.500).

=====

2.
Density functional theory data (GGA-PBE) for LiPIr2 after structural relaxation.

Its formation energy is -213 meV per atom.

The space group is C2/m (No. 12) and the conventional cell measures 8.093, 2.796 and 4.729 Å, with angles of 90.00, 98.79 and 90.00 degrees. Symmetry generates all atoms from Li at (0.000, 0.000, 0.000), P at (0.000, 0.500, 0.500) and Ir at (0.241, 0.000, 0.742).

=====

3.
Density functional theory data (GGA-PBE) for LiPIr after structural relaxation.

Its formation energy is -495 meV per atom.

The space group is P-6m2 (No. 187) and the conventional cell measures 3.9836, 3.9836 and 3.0097 Å, with angles of 90.00, 90.00 and 120.00 degrees. Symmetry generates all atoms from Li at (0.0000, 0.0000, 0.0000), P at (0.3333, 0.6667, 0.5000) and Ir at (0.6667, 0.3333, 0.5000).

=====

4.
Density functional theory data (GGA-PBE) for LiPIr2 after structural relaxation.

Its formation energy is -173 meV per atom.

The space group is I-42d (No. 122) and the conventional cell measures 7.066, 7.066 and 4.997 Å, with angles of 90.00, 90.00 and 90.00 degrees. Symmetry generates all atoms from Li at (0.000, 0.000, 0.000), P at (0.000, 0.000, 0.500) and Ir at (0.170, 0.250, 0.625).

=====

5.
Density functional theory data (GGA-PBE) for Li2P2Ir after structural relaxation.

The polymorph energy (0 for the lowest one) comes out at 0.000 eV per atom. Its formation energy is -763 meV per atom.

The space group is P4/mbm (No. 127) and the conventional cell measures 5.916, 5.916 and 4.166 Å, with angles of 90.00, 90.00 and 90.00 degrees. Symmetry generates all atoms from Li at (0.182, 0.318, 0.000), P at (0.130, 0.630, 0.500) and Ir at (0.000, 0.000, 0.500).

=====

6.
Density functional theory data (GGA-PBE) for LiPIr2 after structural relaxation.

Its formation energy is 64 meV per atom.

The space group is Cmm2 (No. 35) and the conventional cell measures 2.782, 4.760 and 8.642 Å, with angles of 90.00, 90.00 and 90.00 degrees. Symmetry generates all atoms from Li at (0.000, 0.000, 0.000), P at (0.000, 0.500, 0.252), Ir at (0.000, 0.000, 0.472) and Ir at (0.000, 0.500, 0.750).

=====

7.
Density functional theory data (GGA-PBE) for LiPIr2 after structural relaxation.

Its formation energy is -204 meV per atom.

The space group is P2/m (No. 10) and the conventional cell measures 2.825, 3.834 and 5.223 Å, with angles of 90.00, 105.13 and 90.00 degrees. Symmetry generates all atoms from Li at (0.000, 0.000, 0.000), P at (0.500, 0.000, 0.500) and Ir at (0.383, 0.500, 0.737).

=====

8.
Density functional theory data (GGA-PBE) for Li3PIr after structural relaxation.

The polymorph energy (0 for the lowest one) comes out at 0.176 eV per atom. Its formation energy is 701 meV per atom.

The space group is Pm-3m (No. 221) and the conventional cell measures 4.553, 4.553 and 4.553 Å, with angles of 90.00, 90.00 and 90.00 degrees. Symmetry generates all atoms from Li at (0.000, 0.000, 0.500), P at (0.500, 0.500, 0.500) and Ir at (0.000, 0.000, 0.000).

=====

9.
Density functional theory data (GGA-PBE) for LiPIr2 after structural relaxation.

Its formation energy is 77 meV per atom.

The space group is Cmmm (No. 65) and the conventional cell measures 2.915, 4.853 and 8.199 Å, with angles of 90.00, 90.00 and 90.00 degrees. Symmetry generates all atoms from Li at (0.000, 0.000, 0.000), P at (0.000, 0.000, 0.500) and Ir at (0.000, 0.500, 0.276).

=====

10.
Density functional theory data (GGA-PBE) for LiPIr2 after structural relaxation.

Its formation energy is -293 meV per atom.

The space group is Pm (No. 6) and the conventional cell measures 2.816, 3.958 and 5.042 Å, with angles of 90.00, 106.13 and 90.00 degrees. Symmetry generates all atoms from Li at (0.000, 0.000, 0.000), P at (0.604, 0.500, 0.208), Ir at (0.372, 0.500, 0.746) and Ir at (0.732, 0.000, 0.465).

=====

11.
Density functional theory data (GGA-PBE) for LiPIr2 after structural relaxation.

Its formation energy is -114 meV per atom.

The space group is R-3m (No. 166, hexagonal axes) and the conventional cell measures 2.8767, 2.8767 and 23.9017 Å, with angles of 90.00, 90.00 and 120.00 degrees. Symmetry generates all atoms from Li at (0.0000, 0.0000, 0.0000), P at (0.0000, 0.0000, 0.5000) and Ir at (0.0000, 0.0000, 0.2387).

=====

12.
Density functional theory data (GGA-PBE) for LiPIr2 after structural relaxation.

Its formation energy is -276 meV per atom.

The space group is Cm (No. 8) and the conventional cell measures 8.633, 2.864 and 4.455 Å, with angles of 90.00, 108.37 and 90.00 degrees. Symmetry generates all atoms from Li at (0.000, 0.000, 0.000), P at (0.236, 0.000, 0.654), Ir at (0.246, 0.500, 0.089) and Ir at (0.493, 0.000, 0.512).

=====

13.
Density functional theory data (GGA-PBE) for LiPIr2 after structural relaxation.

Its formation energy is -314 meV per atom.

The space group is P4/mmm (No. 123) and the conventional cell measures 4.072, 4.072 and 2.970 Å, with angles of 90.00, 90.00 and 90.00 degrees. Symmetry generates all atoms from Li at (0.000, 0.000, 0.000), P at (0.500, 0.500, 0.000) and Ir at (0.000, 0.500, 0.500).

=====

14.
Density functional theory data (GGA-PBE) for LiPIr3 after structural relaxation.

The polymorph energy (0 for the lowest one) comes out at 0.000 eV per atom. Its formation energy is 292 meV per atom.

The space group is Pm-3m (No. 221) and the conventional cell measures 4.393, 4.393 and 4.393 Å, with angles of 90.00, 90.00 and 90.00 degrees. Symmetry generates all atoms from Li at (0.000, 0.000, 0.000), P at (0.500, 0.500, 0.500) and Ir at (0.000, 0.500, 0.500).

=====

15.
Density functional theory data (GGA-PBE) for LiPIr2 after structural relaxation.

Its formation energy is -146 meV per atom.

The space group is P4mm (No. 99) and the conventional cell measures 3.031, 3.031 and 5.538 Å, with angles of 90.00, 90.00 and 90.00 degrees. Symmetry generates all atoms from Li at (0.000, 0.000, 0.000), P at (0.500, 0.500, 0.225), Ir at (0.000, 0.000, 0.449) and Ir at (0.500, 0.500, 0.797).